Here is TlIr2Pt after structural relaxation from Alexandria. Energies are from GGA-PBE.

Cell lengths 2.8607, 5.0235, 9.4811 Å; angles 90.00, 90.00, 90.00 degrees
Closest atoms and distances in Å follow each position.
Space group Cmmm (No. 65)
Asymmetric unit:
1 Tl 0.0000 0.0000 0.0000  4 Ir 2.84, 6 Tl 2.86-2.89
2 Ir 0.0000 0.5000 0.2590  2 Pt 2.70, 2 Tl 2.84, 6 Ir 2.86-2.89
3 Pt 0.0000 0.0000 0.5000  4 Ir 2.70, 6 Pt 2.86-2.89

Formation energy from the elements in eV/atom: 0.587
Total DFT energy (no corrections) in eV per formula unit: -23.8
Relative energy among the computed polymorphs in eV/atom: 0.2664